Entry 1:
The following is a PBEsol calculation of crystalline SrLi2P at its relaxed geometry, from Alexandria via LeMat-Bulk.

abc: 4.2621 4.2621 16.1748
angles: 90.00 90.00 120.00
Space group R3m (No. 160, hexagonal axes)
Unique sites:
Sr1 0.0000 0.0000 0.0000
Li1 0.0000 0.0000 0.1873
Li2 0.0000 0.0000 0.4779
P1 0.0000 0.0000 0.7977

* total moment: 2.61 Bohr magnetons per cell
* total energy: -3.536 eV/atom

---

Entry 2:
The following is a PBEsol calculation of crystalline Al2TeAs at its relaxed geometry, from Alexandria via LeMat-Bulk.

abc: 11.251 3.036 5.846
angles: 90.00 121.28 90.00
Space group Cm (No. 8)
Unique sites:
Al1 0.000 0.000 0.000
Al2 0.169 0.500 0.887
Te1 0.434 0.000 0.353
As1 0.275 0.000 0.658

* total moment: 0.00 Bohr magnetons per cell
* ΔE to the lowest computed polymorph: 0.2913 eV per atom

---

Entry 3:
The following is a PBEsol calculation of crystalline AsPRu2 at its relaxed geometry, from Alexandria via LeMat-Bulk.

abc: 2.936 4.488 4.138
angles: 90.00 90.00 90.00
Space group Pmm2 (No. 25)
Unique sites:
As1 0.000 0.000 0.000
P1 0.500 0.500 0.716
Ru1 0.000 0.500 0.258
Ru2 0.500 0.000 0.503

* total moment: 0.00 Bohr magnetons per cell
* ΔE to the lowest computed polymorph: 0.0344 eV per atom

---

Entry 4:
The following is a PBEsol calculation of crystalline NbTeIrN2 at its relaxed geometry, from Alexandria via LeMat-Bulk.

abc: 3.835 3.835 5.802
angles: 90.00 90.00 90.00
Space group P4/mmm (No. 123)
Unique sites:
Nb1 0.000 0.000 0.000
Te1 0.500 0.500 0.000
Ir1 0.500 0.500 0.500
N1 0.000 0.500 0.500

* total moment: 2.15 Bohr magnetons per cell
* total energy: -7.144 eV/atom

---

Entry 5:
The following is a PBEsol calculation of crystalline Ca2ScMnW at its relaxed geometry, from Alexandria via LeMat-Bulk.

abc: 5.266 5.266 4.447
angles: 90.00 90.00 90.00
Space group P4/mmm (No. 123)
Unique sites:
Ca1 0.000 0.500 0.000
Sc1 0.000 0.000 0.500
Mn1 0.500 0.500 0.000
W1 0.500 0.500 0.500

* total moment: 0.17 Bohr magnetons per cell
* total energy: -5.896 eV/atom

---

Entry 6:
The following is a PBEsol calculation of crystalline SrBi2Se2 at its relaxed geometry, from Alexandria via LeMat-Bulk.

abc: 4.321 4.321 16.177
angles: 90.00 90.00 90.00
Space group I4/mmm (No. 139)
Unique sites:
Sr1 0.000 0.000 0.000
Bi1 0.000 0.500 0.250
Se1 0.000 0.000 0.418

* total moment: 0.00 Bohr magnetons per cell
* ΔE to the lowest computed polymorph: 0.0252 eV per atom

---

Entry 7:
The following is a PBEsol calculation of crystalline LiMgTa2 at its relaxed geometry, from Alexandria via LeMat-Bulk.

abc: 2.701 4.883 5.332
angles: 90.00 90.00 90.00
Space group Pmmm (No. 47)
Unique sites:
Li1 0.000 0.000 0.000
Mg1 0.000 0.000 0.500
Ta1 0.500 0.500 0.250

* total moment: 0.00 Bohr magnetons per cell
* total energy: -6.706 eV/atom

---

Entry 8:
The following is a PBEsol calculation of crystalline HfMgSi2Os at its relaxed geometry, from Alexandria via LeMat-Bulk.

abc: 4.433 4.433 4.941
angles: 90.00 90.00 90.00
Space group P4/mmm (No. 123)
Unique sites:
Hf1 0.000 0.000 0.000
Mg1 0.000 0.000 0.500
Si1 0.000 0.500 0.500
Os1 0.500 0.500 0.000

* total moment: 0.00 Bohr magnetons per cell
* total energy: -5.369 eV/atom

---

Entry 9:
The following is a PBEsol calculation of crystalline NaPb3I at its relaxed geometry, from Alexandria via LeMat-Bulk.

abc: 5.561 5.561 5.561
angles: 90.00 90.00 90.00
Space group Pm-3m (No. 221)
Unique sites:
Na1 0.000 0.000 0.000
Pb1 0.000 0.000 0.500
I1 0.500 0.500 0.500

* total moment: 0.00 Bohr magnetons per cell
* ΔE to the lowest computed polymorph: 0.0000 eV per atom

---

Entry 10:
The following is a PBEsol calculation of crystalline Zn2SbPt at its relaxed geometry, from Alexandria via LeMat-Bulk.

abc: 2.934 2.934 8.232
angles: 90.00 90.00 90.00
Space group P4/mmm (No. 123)
Unique sites:
Zn1 0.000 0.000 0.198
Sb1 0.500 0.500 0.500
Pt1 0.500 0.500 0.000

* total moment: 0.00 Bohr magnetons per cell
* total energy: -3.777 eV/atom

---

Entry 11:
The following is a PBEsol calculation of crystalline Li2AgAs2 at its relaxed geometry, from Alexandria via LeMat-Bulk.

abc: 6.686 6.686 3.934
angles: 90.00 90.00 90.00
Space group P4/mbm (No. 127)
Unique sites:
Li1 0.167 0.333 0.000
Ag1 0.000 0.000 0.500
As1 0.128 0.628 0.500

* total moment: 0.00 Bohr magnetons per cell
* total energy: -3.879 eV/atom

---

Entry 12:
The following is a PBEsol calculation of crystalline FeIr2RuF at its relaxed geometry, from Alexandria via LeMat-Bulk.

abc: 4.354 4.354 4.432
angles: 90.00 90.00 90.00
Space group P4/mmm (No. 123)
Unique sites:
Fe1 0.000 0.000 0.000
Ir1 0.000 0.500 0.000
Ru1 0.000 0.000 0.500
F1 0.500 0.500 0.500

* total moment: 2.11 Bohr magnetons per cell
* total energy: -6.460 eV/atom

---

Entry 13:
The following is a PBEsol calculation of crystalline LiSb4Pt at its relaxed geometry, from Alexandria via LeMat-Bulk.

abc: 8.490 8.490 8.490
angles: 90.00 90.00 90.00
Space group F-43m (No. 216)
Unique sites:
Li1 0.000 0.000 0.000
Sb1 0.124 0.124 0.376
Pt1 0.250 0.250 0.750

* total moment: 0.00 Bohr magnetons per cell
* total energy: -4.086 eV/atom

---

Entry 14:
The following is a PBEsol calculation of crystalline LaZrAs2 at its relaxed geometry, from Alexandria via LeMat-Bulk.

abc: 4.0148 4.0148 20.1753
angles: 90.00 90.00 120.00
Space group R-3m (No. 166, hexagonal axes)
Unique sites:
La1 0.0000 0.0000 0.0000
Zr1 0.0000 0.0000 0.5000
As1 0.0000 0.0000 0.2404

* total moment: 0.00 Bohr magnetons per cell
* ΔE to the lowest computed polymorph: 0.0000 eV per atom

---

Entry 15:
The following is a PBEsol calculation of crystalline Li2BeTl2 at its relaxed geometry, from Alexandria via LeMat-Bulk.

abc: 6.632 6.632 4.466
angles: 90.00 90.00 90.00
Space group P4/mbm (No. 127)
Unique sites:
Li1 0.155 0.345 0.000
Be1 0.000 0.000 0.500
Tl1 0.162 0.662 0.500

* total moment: 0.00 Bohr magnetons per cell
* total energy: -2.527 eV/atom

---

Entry 16:
The following is a PBEsol calculation of crystalline NbGa3Pt at its relaxed geometry, from Alexandria via LeMat-Bulk.

abc: 4.677 4.677 4.677
angles: 90.00 90.00 90.00
Space group Pm-3m (No. 221)
Unique sites:
Nb1 0.000 0.000 0.000
Ga1 0.000 0.500 0.500
Pt1 0.500 0.500 0.500

* total moment: 2.23 Bohr magnetons per cell
* total energy: -5.021 eV/atom

---

Entry 17:
The following is a PBEsol calculation of crystalline HfZn2Br at its relaxed geometry, from Alexandria via LeMat-Bulk.

abc: 6.783 6.783 6.783
angles: 90.00 90.00 90.00
Space group Fm-3m (No. 225)
Unique sites:
Hf1 0.000 0.000 0.000
Zn1 0.250 0.250 0.250
Br1 0.000 0.000 0.500

* total moment: 0.00 Bohr magnetons per cell
* total energy: -3.340 eV/atom

---

Entry 18:
The following is a PBEsol calculation of crystalline K2TcSe at its relaxed geometry, from Alexandria via LeMat-Bulk.

abc: 4.375 4.375 5.455
angles: 90.00 90.00 90.00
Space group P4/mmm (No. 123)
Unique sites:
K1 0.000 0.000 0.245
Tc1 0.500 0.500 0.500
Se1 0.500 0.500 0.000

* total moment: 3.25 Bohr magnetons per cell
* total energy: -3.732 eV/atom

---

Entry 19:
The following is a PBEsol calculation of crystalline As3Rh at its relaxed geometry, from Alexandria via LeMat-Bulk.

abc: 2.9782 2.9782 8.9209
angles: 90.00 90.00 120.00
Space group P-6m2 (No. 187)
Unique sites:
As1 0.0000 0.0000 0.0000
As2 0.6667 0.3333 0.2884
Rh1 0.0000 0.0000 0.5000

* total moment: 0.00 Bohr magnetons per cell
* ΔE to the lowest computed polymorph: 0.5256 eV per atom

---

Entry 20:
The following is a PBEsol calculation of crystalline LiMn2Si2O7 at its relaxed geometry, from Alexandria via LeMat-Bulk.

abc: 5.303 8.309 12.846
angles: 90.00 94.68 90.00
Space group Cc (No. 9)
Unique sites:
Li1 0.000 0.189 0.000
Mn1 0.008 0.498 0.158
Mn2 0.041 0.495 0.902
Si1 0.008 0.160 0.543
Si2 0.033 0.147 0.776
O1 0.024 0.279 0.867
O2 0.034 0.247 0.662
O3 0.092 0.300 0.466
O4 0.197 0.006 0.545
O5 0.210 0.401 0.032
O6 0.290 0.470 0.273
O7 0.301 0.049 0.786

* total moment: 36.00 Bohr magnetons per cell
* total energy: -7.965 eV/atom

---

Entry 21:
The following is a PBEsol calculation of crystalline Ti3ZnN at its relaxed geometry, from Alexandria via LeMat-Bulk.

abc: 3.043 10.567 8.248
angles: 90.00 90.00 90.00
Space group Cmcm (No. 63)
Unique sites:
Ti1 0.000 0.038 0.250
Ti2 0.000 0.375 0.042
Zn1 0.000 0.255 0.750
N1 0.000 0.000 0.000

* total moment: 0.00 Bohr magnetons per cell
* ΔE to the lowest computed polymorph: 0.0000 eV per atom

---

Entry 22:
The following is a PBEsol calculation of crystalline NdHo3 at its relaxed geometry, from Alexandria via LeMat-Bulk.

abc: 7.0975 7.0975 5.5888
angles: 90.00 90.00 120.00
Space group P6_3/mmc (No. 194)
Unique sites:
Nd1 0.3333 0.6667 0.2500
Ho1 0.1658 0.3316 0.7500

* total moment: 0.00 Bohr magnetons per cell
* ΔE to the lowest computed polymorph: 0.0035 eV per atom

---

Entry 23:
The following is a PBEsol calculation of crystalline CoPd2Cl at its relaxed geometry, from Alexandria via LeMat-Bulk.

abc: 6.129 6.129 6.129
angles: 90.00 90.00 90.00
Space group Fm-3m (No. 225)
Unique sites:
Co1 0.000 0.000 0.000
Pd1 0.250 0.250 0.250
Cl1 0.000 0.000 0.500

* total moment: 11.82 Bohr magnetons per cell
* total energy: -4.931 eV/atom

---

Entry 24:
The following is a PBEsol calculation of crystalline CrRh3 at its relaxed geometry, from Alexandria via LeMat-Bulk.

abc: 2.658 8.435 4.602
angles: 90.00 90.00 90.00
Space group Imm2 (No. 44)
Unique sites:
Cr1 0.000 0.000 0.000
Rh1 0.000 0.257 0.668
Rh2 0.000 0.500 0.018

* total moment: 0.00 Bohr magnetons per cell
* total energy: -8.725 eV/atom

---

Entry 25:
The following is a PBEsol calculation of crystalline Be2CdTeO at its relaxed geometry, from Alexandria via LeMat-Bulk.

abc: 3.840 3.840 5.457
angles: 90.00 90.00 90.00
Space group P4/mmm (No. 123)
Unique sites:
Be1 0.000 0.500 0.000
Cd1 0.000 0.000 0.500
Te1 0.500 0.500 0.500
O1 0.000 0.000 0.000

* total moment: 0.00 Bohr magnetons per cell
* total energy: -3.628 eV/atom

---

Entry 26:
The following is a PBEsol calculation of crystalline Cd3Au at its relaxed geometry, from Alexandria via LeMat-Bulk.

abc: 6.740 6.740 6.740
angles: 90.00 90.00 90.00
Space group Fm-3m (No. 225)
Unique sites:
Cd1 0.000 0.000 0.000
Cd2 0.250 0.250 0.250
Au1 0.000 0.000 0.500

* total moment: 0.00 Bohr magnetons per cell
* total energy: -1.943 eV/atom

---

Entry 27:
The following is a PBEsol calculation of crystalline ReNiOs2 at its relaxed geometry, from Alexandria via LeMat-Bulk.

abc: 2.743 4.450 4.468
angles: 90.00 90.00 90.00
Space group Pmmm (No. 47)
Unique sites:
Re1 0.000 0.000 0.000
Ni1 0.500 0.000 0.500
Os1 0.000 0.500 0.500
Os2 0.500 0.500 0.000

* total moment: 0.00 Bohr magnetons per cell
* ΔE to the lowest computed polymorph: 0.3636 eV per atom